(1)
{
  "formula": "Pm6Ho2Sc3",
  "functional": "PBE",
  "state": "relaxed",
  "lattice": [[6.107, 0.000, 0.000], [-2.001, 7.603, 0.000], [-1.052, -2.749, 7.298]],
  "species": ["Pm", "Pm", "Pm", "Pm", "Pm", "Pm", "Ho", "Ho", "Sc", "Sc", "Sc"],
  "fractional_positions": [[0.093, 0.361, 0.324], [0.183, 0.732, 0.149], [0.274, 0.090, 0.951], [0.726, 0.910, 0.049], [0.817, 0.268, 0.851], [0.907, 0.639, 0.676], [0.366, 0.454, 0.768], [0.634, 0.546, 0.232], [0.000, 0.000, 0.500], [0.457, 0.824, 0.587], [0.543, 0.176, 0.413]],
  "space_group": "No. 2",
  "dos_ef_per_ev_atom": 1.423,
  "e_form_ev_per_fu": 0.54
}

---

(2)
{
  "formula": "AcPmEr2Tl4",
  "functional": "PBE",
  "state": "relaxed",
  "lattice": [[2.754, 1.590, 9.039], [-2.754, 1.590, 9.039], [0.000, -3.180, 9.039]],
  "species": ["Ac", "Pm", "Er", "Er", "Tl", "Tl", "Tl", "Tl"],
  "fractional_positions": [[0.000, 0.000, 0.000], [0.500, 0.500, 0.500], [0.249, 0.249, 0.249], [0.751, 0.751, 0.751], [0.128, 0.128, 0.128], [0.379, 0.379, 0.379], [0.621, 0.621, 0.621], [0.872, 0.872, 0.872]],
  "space_group": "No. 166",
  "dos_ef_per_ev_atom": 0.844,
  "e_form_ev_per_fu": -2.52
}

---

(3)
{
  "formula": "Cs4SrPa3O12",
  "functional": "PBE",
  "state": "relaxed",
  "lattice": [[-4.563, 4.563, 4.563], [4.563, -4.563, 4.563], [4.563, 4.563, -4.563]],
  "species": ["Cs", "Cs", "Cs", "Cs", "Sr", "Pa", "Pa", "Pa", "O", "O", "O", "O", "O", "O", "O", "O", "O", "O", "O", "O"],
  "fractional_positions": [[0.000, 0.000, 0.500], [0.000, 0.500, 0.000], [0.500, 0.000, 0.000], [0.500, 0.500, 0.500], [0.000, 0.000, 0.000], [0.000, 0.500, 0.500], [0.500, 0.000, 0.500], [0.500, 0.500, 0.000], [0.000, 0.279, 0.279], [0.000, 0.721, 0.721], [0.250, 0.500, 0.750], [0.250, 0.750, 0.500], [0.279, 0.000, 0.279], [0.279, 0.279, 0.000], [0.500, 0.250, 0.750], [0.500, 0.750, 0.250], [0.721, 0.000, 0.721], [0.721, 0.721, 0.000], [0.750, 0.250, 0.500], [0.750, 0.500, 0.250]],
  "e_form_raw_ev_per_atom": -2.630,
  "space_group": "No. 229",
  "dos_ef_per_ev_atom": 0.812
}

---

What did the third record say?
{
  "formula": "Cs4SrPa3O12",
  "functional": "PBE",
  "state": "relaxed",
  "lattice": [[-4.563, 4.563, 4.563], [4.563, -4.563, 4.563], [4.563, 4.563, -4.563]],
  "species": ["Cs", "Cs", "Cs", "Cs", "Sr", "Pa", "Pa", "Pa", "O", "O", "O", "O", "O", "O", "O", "O", "O", "O", "O", "O"],
  "fractional_positions": [[0.000, 0.000, 0.500], [0.000, 0.500, 0.000], [0.500, 0.000, 0.000], [0.500, 0.500, 0.500], [0.000, 0.000, 0.000], [0.000, 0.500, 0.500], [0.500, 0.000, 0.500], [0.500, 0.500, 0.000], [0.000, 0.279, 0.279], [0.000, 0.721, 0.721], [0.250, 0.500, 0.750], [0.250, 0.750, 0.500], [0.279, 0.000, 0.279], [0.279, 0.279, 0.000], [0.500, 0.250, 0.750], [0.500, 0.750, 0.250], [0.721, 0.000, 0.721], [0.721, 0.721, 0.000], [0.750, 0.250, 0.500], [0.750, 0.500, 0.250]],
  "e_form_raw_ev_per_atom": -2.630,
  "space_group": "No. 229",
  "dos_ef_per_ev_atom": 0.812
}

---

Copy entry 3 word for word.
{
  "formula": "Cs4SrPa3O12",
  "functional": "PBE",
  "state": "relaxed",
  "lattice": [[-4.563, 4.563, 4.563], [4.563, -4.563, 4.563], [4.563, 4.563, -4.563]],
  "species": ["Cs", "Cs", "Cs", "Cs", "Sr", "Pa", "Pa", "Pa", "O", "O", "O", "O", "O", "O", "O", "O", "O", "O", "O", "O"],
  "fractional_positions": [[0.000, 0.000, 0.500], [0.000, 0.500, 0.000], [0.500, 0.000, 0.000], [0.500, 0.500, 0.500], [0.000, 0.000, 0.000], [0.000, 0.500, 0.500], [0.500, 0.000, 0.500], [0.500, 0.500, 0.000], [0.000, 0.279, 0.279], [0.000, 0.721, 0.721], [0.250, 0.500, 0.750], [0.250, 0.750, 0.500], [0.279, 0.000, 0.279], [0.279, 0.279, 0.000], [0.500, 0.250, 0.750], [0.500, 0.750, 0.250], [0.721, 0.000, 0.721], [0.721, 0.721, 0.000], [0.750, 0.250, 0.500], [0.750, 0.500, 0.250]],
  "e_form_raw_ev_per_atom": -2.630,
  "space_group": "No. 229",
  "dos_ef_per_ev_atom": 0.812
}